## IrOsPt2 (PBE)

Data for a relaxed IrOsPt2 crystal.

a b c (Å): 3.9194 3.9194 3.9053
angles (deg): 90.00 90.00 90.00
Last column: nearest neighbours and their distance in Å.
Sites, in units of the cell vectors:
Ir (0.0000, 0.0000, 0.0000)  8 Pt 2.77, 4 Os 2.77
Os (0.5000, 0.5000, 0.0000)  8 Pt 2.77, 4 Ir 2.77
Pt (0.0000, 0.5000, 0.5000)  4 Os 2.77, 4 Ir 2.77, 4 Pt 2.77
Pt (0.5000, 0.0000, 0.5000)  4 Os 2.77, 4 Ir 2.77, 4 Pt 2.77

Summary:
Magnetic moment = 0.0000 μB/atom
SG = P4/mmm, No. 123
Electronic total energy = -0.5775 Ry per atom
Energy above the most stable polymorph in this dataset = 0.201 eV/atom